Arrangement w

{
  "formula": "YHoBr2NCl",
  "functional": "PBE",
  "state": "optimized geometry",
  "cell": [[9.153, -1.922, 0.000], [9.153, 1.922, 0.000], [-6.781, 0.000, 9.281]],
  "species": ["N", "N", "Br", "Br", "Br", "Br", "Cl", "Cl", "Y", "Y", "Ho", "Ho"],
  "fractional_positions": [[0.424, 0.424, 0.844], [0.576, 0.576, 0.156], [0.217, 0.217, 0.123], [0.783, 0.783, 0.877], [0.965, 0.965, 0.257], [0.035, 0.035, 0.743], [0.675, 0.675, 0.506], [0.325, 0.325, 0.494], [0.861, 0.861, 0.708], [0.139, 0.139, 0.292], [0.574, 0.574, 0.961], [0.426, 0.426, 0.039]],
  "magmom_total_mub_per_fu": 0.00
}

Arrangement x

{
  "formula": "YHoBr2NCl",
  "functional": "PBE",
  "state": "optimized geometry",
  "cell": [[-8.877, 3.164, -0.255], [-8.707, 1.600, 3.242], [9.381, 6.327, 2.375]],
  "species": ["Br", "Br", "Br", "Br", "Y", "Y", "Cl", "Cl", "Ho", "Ho", "N", "N"],
  "fractional_positions": [[0.032, 0.032, 0.741], [0.218, 0.218, 0.127], [0.968, 0.968, 0.259], [0.782, 0.782, 0.873], [0.426, 0.426, 0.039], [0.574, 0.574, 0.961], [0.676, 0.676, 0.506], [0.324, 0.324, 0.494], [0.139, 0.139, 0.292], [0.861, 0.861, 0.708], [0.577, 0.577, 0.158], [0.423, 0.423, 0.842]],
  "magmom_total_mub_per_fu": 0.00
}

Arrangement y

{
  "formula": "YHoBr2NCl",
  "functional": "PBE",
  "state": "optimized geometry",
  "cell": [[8.672, -1.928, 0.000], [8.672, 1.928, 0.000], [-5.990, 0.000, 9.346]],
  "species": ["Br", "Br", "Br", "Br", "Cl", "Cl", "N", "N", "Ho", "Ho", "Y", "Y"],
  "fractional_positions": [[0.048, 0.048, 0.744], [0.334, 0.334, 0.480], [0.952, 0.952, 0.256], [0.666, 0.666, 0.520], [0.793, 0.793, 0.890], [0.207, 0.207, 0.110], [0.572, 0.572, 0.155], [0.428, 0.428, 0.845], [0.579, 0.579, 0.960], [0.421, 0.421, 0.040], [0.133, 0.133, 0.287], [0.867, 0.867, 0.713]],
  "magmom_total_mub_per_fu": 0.00
}

Top of the stability list: arrangement y, leading by 8 meV/atom.

Arrangement w

{
  "formula": "MoI2Br2Cl",
  "functional": "PBE",
  "state": "optimized geometry",
  "cell": [[-3.433, -5.746, 0.369], [4.866, 0.312, -5.355], [5.134, -1.998, 8.515]],
  "species": ["Br", "Br", "Br", "Br", "I", "I", "I", "I", "Mo", "Mo", "Cl", "Cl"],
  "fractional_positions": [[0.560, 0.434, 0.670], [0.440, 0.566, 0.330], [0.699, 0.995, 0.749], [0.301, 0.005, 0.251], [0.922, 0.194, 0.440], [0.744, 0.809, 0.046], [0.078, 0.806, 0.560], [0.256, 0.191, 0.954], [0.111, 0.219, 0.218], [0.889, 0.781, 0.782], [0.100, 0.631, 0.853], [0.900, 0.369, 0.147]],
  "magmom_total_mub_per_fu": 0.99
}

Arrangement x

{
  "formula": "MoI2Br2Cl",
  "functional": "PBE",
  "state": "optimized geometry",
  "cell": [[-0.016, -5.922, -3.274], [6.560, 3.379, 0.082], [-1.157, -4.475, 8.818]],
  "species": ["I", "I", "I", "I", "Br", "Br", "Br", "Br", "Cl", "Cl", "Mo", "Mo"],
  "fractional_positions": [[0.080, 0.811, 0.563], [0.449, 0.565, 0.332], [0.551, 0.435, 0.668], [0.920, 0.189, 0.437], [0.288, 0.991, 0.239], [0.765, 0.830, 0.046], [0.235, 0.170, 0.954], [0.712, 0.009, 0.761], [0.104, 0.647, 0.865], [0.896, 0.353, 0.135], [0.899, 0.795, 0.793], [0.101, 0.205, 0.207]],
  "magmom_total_mub_per_fu": 0.99
}

Arrangement y

{
  "formula": "MoI2Br2Cl",
  "functional": "PBE",
  "state": "optimized geometry",
  "cell": [[6.844, 0.000, 0.000], [-3.367, 6.550, 0.000], [-0.029, -3.678, 9.298]],
  "species": ["Cl", "Cl", "I", "I", "I", "I", "Br", "Br", "Br", "Br", "Mo", "Mo"],
  "fractional_positions": [[0.068, 0.813, 0.583], [0.932, 0.187, 0.417], [0.254, 0.195, 0.955], [0.682, 0.991, 0.740], [0.746, 0.805, 0.045], [0.318, 0.009, 0.260], [0.892, 0.383, 0.157], [0.108, 0.617, 0.843], [0.561, 0.419, 0.661], [0.439, 0.581, 0.339], [0.108, 0.225, 0.227], [0.892, 0.775, 0.773]],
  "magmom_total_mub_per_fu": 0.99
}

Top of the stability list: arrangement x, leading by 6 meV/atom.

Arrangement w

{
  "formula": "MoIBr3Cl",
  "functional": "PBE",
  "state": "optimized geometry",
  "cell": [[-4.466, -4.748, 1.097], [4.299, -1.133, -5.616], [5.100, -2.480, 8.227]],
  "species": ["Br", "Br", "Br", "Br", "Br", "Br", "Mo", "Mo", "Cl", "Cl", "I", "I"],
  "fractional_positions": [[0.694, 0.991, 0.748], [0.927, 0.191, 0.428], [0.073, 0.809, 0.572], [0.442, 0.576, 0.336], [0.306, 0.009, 0.252], [0.558, 0.424, 0.664], [0.889, 0.776, 0.777], [0.111, 0.224, 0.223], [0.102, 0.626, 0.848], [0.898, 0.374, 0.152], [0.740, 0.806, 0.047], [0.260, 0.194, 0.953]],
  "magmom_total_mub_per_fu": 0.99
}

Arrangement x

{
  "formula": "MoIBr3Cl",
  "functional": "PBE",
  "state": "optimized geometry",
  "cell": [[6.698, 0.000, 0.000], [-3.198, 6.498, 0.000], [-0.303, -3.701, 9.095]],
  "species": ["Br", "Br", "Br", "Br", "Br", "Br", "I", "I", "Mo", "Mo", "Cl", "Cl"],
  "fractional_positions": [[0.699, 0.999, 0.761], [0.882, 0.371, 0.138], [0.301, 0.001, 0.239], [0.441, 0.565, 0.325], [0.118, 0.629, 0.862], [0.559, 0.435, 0.675], [0.074, 0.808, 0.559], [0.926, 0.192, 0.441], [0.897, 0.793, 0.793], [0.103, 0.207, 0.207], [0.781, 0.834, 0.042], [0.219, 0.166, 0.958]],
  "magmom_total_mub_per_fu": 0.99
}

Top of the stability list: arrangement x, leading by 10 meV/atom.

Arrangement w

{
  "formula": "Ir2Se2BrCl",
  "functional": "PBE",
  "state": "optimized geometry",
  "cell": [[3.701, 0.000, 0.000], [0.000, 4.927, 0.000], [0.000, 0.000, 8.319]],
  "species": ["Se", "Se", "Ir", "Ir", "Br", "Cl"],
  "fractional_positions": [[0.000, 0.000, 0.435], [0.500, 0.500, 0.558], [0.000, 0.500, 0.365], [0.500, 0.000, 0.629], [0.000, 0.000, 0.842], [0.500, 0.500, 0.171]],
  "magmom_total_mub_per_fu": 0.00
}

Arrangement x

{
  "formula": "Ir2Se2BrCl",
  "functional": "PBE",
  "state": "optimized geometry",
  "cell": [[-6.891, 0.575, -2.856], [-4.726, -1.147, -5.685], [-0.069, -5.263, 3.150]],
  "species": ["Br", "Cl", "Se", "Se", "Ir", "Ir"],
  "fractional_positions": [[0.406, 0.406, 0.178], [0.596, 0.596, 0.810], [0.136, 0.136, 0.347], [0.863, 0.863, 0.659], [0.308, 0.308, 0.443], [0.691, 0.691, 0.563]],
  "magmom_total_mub_per_fu": 0.00
}

Top of the stability list: arrangement w, leading by 244 meV/atom.

Arrangement w

{
  "formula": "MoBr2Cl2",
  "functional": "PBE",
  "state": "optimized geometry",
  "cell": [[6.330, -3.364, 0.000], [6.330, 3.364, 0.000], [-5.823, 0.000, 6.632]],
  "species": ["Cl", "Cl", "Cl", "Cl", "Mo", "Mo", "Br", "Br", "Br", "Br"],
  "fractional_positions": [[0.802, 0.802, 0.831], [0.330, 0.330, 0.856], [0.198, 0.198, 0.169], [0.670, 0.670, 0.144], [0.215, 0.785, 0.000], [0.785, 0.215, 0.000], [0.779, 0.268, 0.299], [0.268, 0.779, 0.299], [0.732, 0.221, 0.701], [0.221, 0.732, 0.701]],
  "magmom_total_mub_per_fu": 1.00
}

Arrangement x

{
  "formula": "MoBr2Cl2",
  "functional": "PBE",
  "state": "optimized geometry",
  "cell": [[6.318, -3.464, 0.000], [6.318, 3.464, 0.000], [-5.450, 0.000, 6.466]],
  "species": ["Br", "Br", "Br", "Br", "Cl", "Cl", "Cl", "Cl", "Mo", "Mo"],
  "fractional_positions": [[0.321, 0.321, 0.844], [0.679, 0.679, 0.156], [0.788, 0.788, 0.816], [0.212, 0.212, 0.184], [0.256, 0.785, 0.292], [0.785, 0.256, 0.292], [0.215, 0.744, 0.708], [0.744, 0.215, 0.708], [0.791, 0.209, 0.000], [0.209, 0.791, 0.000]],
  "magmom_total_mub_per_fu": 1.00
}

Top of the stability list: arrangement x, leading by 17 meV/atom.

Arrangement w

{
  "formula": "Sm2BrNCl2",
  "functional": "PBE",
  "state": "optimized geometry",
  "cell": [[-0.758, -6.536, -5.227], [-2.426, -7.829, -1.854], [-7.390, 8.071, -0.558]],
  "species": ["Cl", "Cl", "Cl", "Cl", "Sm", "Sm", "Sm", "Sm", "Br", "Br", "N", "N"],
  "fractional_positions": [[0.221, 0.221, 0.110], [0.951, 0.951, 0.247], [0.049, 0.049, 0.753], [0.779, 0.779, 0.890], [0.587, 0.587, 0.953], [0.413, 0.413, 0.047], [0.864, 0.864, 0.713], [0.136, 0.136, 0.287], [0.657, 0.657, 0.517], [0.343, 0.343, 0.483], [0.425, 0.425, 0.846], [0.575, 0.575, 0.154]],
  "magmom_total_mub_per_fu": 0.00
}

Arrangement x

{
  "formula": "Sm2BrNCl2",
  "functional": "PBE",
  "state": "optimized geometry",
  "cell": [[8.507, -1.976, 0.000], [8.507, 1.976, 0.000], [-5.729, 0.000, 9.327]],
  "species": ["Sm", "Sm", "Sm", "Sm", "Br", "Br", "Cl", "Cl", "Cl", "Cl", "N", "N"],
  "fractional_positions": [[0.583, 0.583, 0.955], [0.417, 0.417, 0.045], [0.863, 0.863, 0.706], [0.137, 0.137, 0.294], [0.047, 0.047, 0.731], [0.953, 0.953, 0.269], [0.330, 0.330, 0.485], [0.785, 0.785, 0.887], [0.215, 0.215, 0.113], [0.670, 0.670, 0.515], [0.426, 0.426, 0.843], [0.574, 0.574, 0.157]],
  "magmom_total_mub_per_fu": 0.00
}

Top of the stability list: arrangement w, leading by 9 meV/atom.

Arrangement w

{
  "formula": "TbSmBrNCl2",
  "functional": "PBE",
  "state": "optimized geometry",
  "cell": [[8.310, -1.954, 0.000], [8.310, 1.954, 0.000], [-5.572, 0.000, 9.221]],
  "species": ["Cl", "Cl", "Cl", "Cl", "Br", "Br", "Sm", "Sm", "Tb", "Tb", "N", "N"],
  "fractional_positions": [[0.780, 0.780, 0.384], [0.670, 0.670, 0.015], [0.330, 0.330, 0.985], [0.220, 0.220, 0.616], [0.047, 0.047, 0.225], [0.953, 0.953, 0.775], [0.585, 0.585, 0.454], [0.415, 0.415, 0.546], [0.137, 0.137, 0.794], [0.863, 0.863, 0.206], [0.424, 0.424, 0.340], [0.576, 0.576, 0.660]],
  "magmom_total_mub_per_fu": 0.00
}

Arrangement x

{
  "formula": "TbSmBrNCl2",
  "functional": "PBE",
  "state": "optimized geometry",
  "cell": [[8.376, -1.961, 0.000], [8.376, 1.961, 0.000], [-5.651, 0.000, 9.311]],
  "species": ["Cl", "Cl", "Cl", "Cl", "Br", "Br", "N", "N", "Sm", "Sm", "Tb", "Tb"],
  "fractional_positions": [[0.785, 0.785, 0.889], [0.332, 0.332, 0.486], [0.668, 0.668, 0.514], [0.215, 0.215, 0.111], [0.949, 0.949, 0.262], [0.051, 0.051, 0.738], [0.427, 0.427, 0.845], [0.573, 0.573, 0.155], [0.137, 0.137, 0.293], [0.863, 0.863, 0.707], [0.583, 0.583, 0.957], [0.417, 0.417, 0.043]],
  "magmom_total_mub_per_fu": 0.00
}

Arrangement y

{
  "formula": "TbSmBrNCl2",
  "functional": "PBE",
  "state": "optimized geometry",
  "cell": [[8.125, -1.965, 0.000], [8.125, 1.965, 0.000], [-5.459, 0.000, 9.405]],
  "species": ["Tb", "Tb", "Cl", "Cl", "Cl", "Cl", "Sm", "Sm", "N", "N", "Br", "Br"],
  "fractional_positions": [[0.864, 0.864, 0.713], [0.136, 0.136, 0.287], [0.047, 0.047, 0.749], [0.223, 0.223, 0.114], [0.953, 0.953, 0.251], [0.777, 0.777, 0.886], [0.413, 0.413, 0.047], [0.587, 0.587, 0.953], [0.423, 0.423, 0.844], [0.577, 0.577, 0.156], [0.342, 0.342, 0.484], [0.658, 0.658, 0.516]],
  "magmom_total_mub_per_fu": 0.00
}

Top of the stability list: arrangement x, leading by 11 meV/atom.

Arrangement w

{
  "formula": "Tb2Br2NCl",
  "functional": "PBE",
  "state": "optimized geometry",
  "cell": [[8.397, -1.946, 0.000], [8.397, 1.946, 0.000], [-5.681, 0.000, 9.390]],
  "species": ["Cl", "Cl", "Br", "Br", "Br", "Br", "Tb", "Tb", "Tb", "Tb", "N", "N"],
  "fractional_positions": [[0.786, 0.786, 0.889], [0.214, 0.214, 0.111], [0.337, 0.337, 0.481], [0.663, 0.663, 0.519], [0.051, 0.051, 0.740], [0.949, 0.949, 0.260], [0.417, 0.417, 0.042], [0.134, 0.134, 0.287], [0.583, 0.583, 0.958], [0.866, 0.866, 0.713], [0.427, 0.427, 0.845], [0.573, 0.573, 0.155]],
  "magmom_total_mub_per_fu": 0.00
}

Arrangement x

{
  "formula": "Tb2Br2NCl",
  "functional": "PBE",
  "state": "optimized geometry",
  "cell": [[8.781, -1.938, 0.000], [8.781, 1.938, 0.000], [-6.253, 0.000, 9.297]],
  "species": ["N", "N", "Br", "Br", "Br", "Br", "Tb", "Tb", "Tb", "Tb", "Cl", "Cl"],
  "fractional_positions": [[0.424, 0.424, 0.843], [0.576, 0.576, 0.157], [0.777, 0.777, 0.877], [0.960, 0.960, 0.262], [0.223, 0.223, 0.123], [0.040, 0.040, 0.738], [0.578, 0.578, 0.957], [0.422, 0.422, 0.043], [0.862, 0.862, 0.708], [0.138, 0.138, 0.292], [0.672, 0.672, 0.508], [0.328, 0.328, 0.492]],
  "magmom_total_mub_per_fu": 0.00
}

Top of the stability list: arrangement w, leading by 9 meV/atom.